Record 1
# YbSiAu | the Alexandria database | PBE-GGA | optimized geometry
data_YbSiAu
_cell_length_a 5.6652
_cell_length_b 5.6652
_cell_length_c 5.6652
_cell_angle_alpha 133.84
_cell_angle_beta 102.30
_cell_angle_gamma 95.41
_space_group_name_H-M_alt 'P 1'
_space_group_IT_number 1
loop_
_space_group_symop_operation_xyz
'x,y,z'
loop_
_atom_site_label
_atom_site_type_symbol
_atom_site_fract_x
_atom_site_fract_y
_atom_site_fract_z
Yb1 Yb 0.2904 0.2904 0.0000
Yb2 Yb 0.8650 0.3650 0.5000
Si1 Si 0.4805 0.6613 0.8192
Si2 Si 0.8421 0.6613 0.1808
Au1 Au 0.2707 0.9919 0.2787
Au2 Au 0.7132 0.9919 0.7213
# N(E_F): 26.99 states/eV/cell
# Electronic total energy: -4.153 eV per atom

=====

Record 2
# Nb2SbW2 | the Alexandria database | PBE-GGA | optimized geometry
data_Nb2SbW2
_cell_length_a 4.3302
_cell_length_b 4.3302
_cell_length_c 6.3569
_cell_angle_alpha 70.09
_cell_angle_beta 70.09
_cell_angle_gamma 90.00
_space_group_name_H-M_alt 'P 1'
_space_group_IT_number 1
loop_
_space_group_symop_operation_xyz
'x,y,z'
loop_
_atom_site_label
_atom_site_type_symbol
_atom_site_fract_x
_atom_site_fract_y
_atom_site_fract_z
Sb1 Sb 0.0000 0.0000 0.0000
Nb1 Nb 0.7500 0.2500 0.5000
Nb2 Nb 0.2500 0.7500 0.5000
W1 W 0.3875 0.3875 0.2250
W2 W 0.6125 0.6125 0.7750
# Distance to the lowest polymorph of the same formula: 1.45 eV per formula unit
# N(E_F): 5.52 states/eV/cell

=====

Record 3
# CdPt2SO | the Alexandria database | PBE-GGA | optimized geometry
data_CdPt2SO
_cell_length_a 4.3919
_cell_length_b 5.2350
_cell_length_c 4.3919
_cell_angle_alpha 90.00
_cell_angle_beta 90.00
_cell_angle_gamma 90.00
_space_group_name_H-M_alt 'P 1'
_space_group_IT_number 1
loop_
_space_group_symop_operation_xyz
'x,y,z'
loop_
_atom_site_label
_atom_site_type_symbol
_atom_site_fract_x
_atom_site_fract_y
_atom_site_fract_z
S1 S 0.0000 0.0000 0.0000
O1 O 0.5000 0.5000 0.5000
Pt1 Pt 0.0000 0.0000 0.5000
Pt2 Pt 0.5000 0.0000 0.0000
Cd1 Cd 0.0000 0.5000 0.0000
# N(E_F): 7.95 states/eV/cell
# Electronic total energy: -3.717 eV per atom

=====

Record 4
# Be3WBr | the Alexandria database | PBE-GGA | optimized geometry
data_Be3WBr
_cell_length_a 4.6073
_cell_length_b 4.6073
_cell_length_c 4.6073
_cell_angle_alpha 90.00
_cell_angle_beta 90.00
_cell_angle_gamma 90.00
_space_group_name_H-M_alt 'P 1'
_space_group_IT_number 1
loop_
_space_group_symop_operation_xyz
'x,y,z'
loop_
_atom_site_label
_atom_site_type_symbol
_atom_site_fract_x
_atom_site_fract_y
_atom_site_fract_z
Be1 Be 0.0000 0.5000 0.0000
Be2 Be 0.0000 0.0000 0.5000
Be3 Be 0.5000 0.0000 0.0000
Br1 Br 0.5000 0.5000 0.5000
W1 W 0.0000 0.0000 0.0000
# Distance to the lowest polymorph of the same formula: 0.00 eV per formula unit
# N(E_F): 5.22 states/eV/cell

=====

Record 5
# Sm5Dy2Sc4 | the Alexandria database | PBE-GGA | optimized geometry
data_Sm5Dy2Sc4
_cell_length_a 3.4313
_cell_length_b 8.7495
_cell_length_c 12.3013
_cell_angle_alpha 110.83
_cell_angle_beta 98.02
_cell_angle_gamma 90.00
_space_group_name_H-M_alt 'P 1'
_space_group_IT_number 1
loop_
_space_group_symop_operation_xyz
'x,y,z'
loop_
_atom_site_label
_atom_site_type_symbol
_atom_site_fract_x
_atom_site_fract_y
_atom_site_fract_z
Sm1 Sm 0.8587 0.0612 0.7175
Sm2 Sm 0.8587 0.6563 0.7175
Sm3 Sm 0.1413 0.3437 0.2825
Sm4 Sm 0.1413 0.9388 0.2825
Sm5 Sm 0.5000 0.0000 0.0000
Dy1 Dy 0.2700 0.2700 0.5401
Dy2 Dy 0.7300 0.7300 0.4599
Sc1 Sc 0.0000 0.3239 0.0000
Sc2 Sc 0.5935 0.5935 0.1871
Sc3 Sc 0.0000 0.6761 0.0000
Sc4 Sc 0.4065 0.4065 0.8129
# DFT formation energy: 0.16 eV per atom
# Distance to the lowest polymorph of the same formula: 0.59 eV per formula unit
# N(E_F): 18.69 states/eV/cell

=====

Record 6
# Ac2AlCd3In4 | the Alexandria database | PBE-GGA | optimized geometry
data_Ac2AlCd3In4
_cell_length_a 4.8066
_cell_length_b 4.8066
_cell_length_c 11.8500
_cell_angle_alpha 90.00
_cell_angle_beta 90.00
_cell_angle_gamma 90.00
_space_group_name_H-M_alt 'P 1'
_space_group_IT_number 1
loop_
_space_group_symop_operation_xyz
'x,y,z'
loop_
_atom_site_label
_atom_site_type_symbol
_atom_site_fract_x
_atom_site_fract_y
_atom_site_fract_z
Ac1 Ac 0.5000 0.0000 0.2571
Ac2 Ac 0.0000 0.5000 0.7429
Al1 Al 0.5000 0.5000 0.5000
Cd1 Cd 0.0000 0.0000 0.5000
Cd2 Cd 0.5000 0.0000 0.8616
Cd3 Cd 0.0000 0.5000 0.1384
In1 In 0.5000 0.5000 0.0000
In2 In 0.0000 0.0000 0.0000
In3 In 0.5000 0.0000 0.6297
In4 In 0.0000 0.5000 0.3703
# DFT formation energy: -0.31 eV per atom
# N(E_F): 2.72 states/eV/cell

=====

Record 7
# InGaCuHg2 | the Alexandria database | PBE-GGA | optimized geometry
data_InGaCuHg2
_cell_length_a 5.1421
_cell_length_b 5.1421
_cell_length_c 4.7062
_cell_angle_alpha 90.00
_cell_angle_beta 90.00
_cell_angle_gamma 90.00
_space_group_name_H-M_alt 'P 1'
_space_group_IT_number 1
loop_
_space_group_symop_operation_xyz
'x,y,z'
loop_
_atom_site_label
_atom_site_type_symbol
_atom_site_fract_x
_atom_site_fract_y
_atom_site_fract_z
Cu1 Cu 0.0000 0.0000 0.0000
Hg1 Hg 0.0000 0.5000 0.0000
Hg2 Hg 0.5000 0.0000 0.0000
Ga1 Ga 0.0000 0.0000 0.5000
In1 In 0.5000 0.5000 0.5000
# DFT formation energy: 0.16 eV per atom
# N(E_F): 2.22 states/eV/cell

=====

Record 8
# TcAuSN2 | the Alexandria database | PBE-GGA | optimized geometry
data_TcAuSN2
_cell_length_a 3.7816
_cell_length_b 3.7816
_cell_length_c 5.3248
_cell_angle_alpha 90.00
_cell_angle_beta 90.00
_cell_angle_gamma 90.00
_space_group_name_H-M_alt 'P 1'
_space_group_IT_number 1
loop_
_space_group_symop_operation_xyz
'x,y,z'
loop_
_atom_site_label
_atom_site_type_symbol
_atom_site_fract_x
_atom_site_fract_y
_atom_site_fract_z
S1 S 0.0000 0.0000 0.5000
Au1 Au 0.5000 0.5000 0.5000
Tc1 Tc 0.0000 0.0000 0.0000
N1 N 0.0000 0.5000 0.0000
N2 N 0.5000 0.0000 0.0000
# Distance to the lowest polymorph of the same formula: 0.00 eV per formula unit
# N(E_F): 3.17 states/eV/cell

=====

Q: What is the formula in the first record?
A: YbSiAu

=====

Q: N(E_F) of number 1 (YbSiAu)?
A: 26.99 states/eV/cell